A geometry-optimized Sm6Si2RhBr3 structure. Source: Alexandria, functional PBE.

Geometry as POSCAR:
```
Sm6Si2RhBr3
1.0
9.436 -2.070 0.000
9.436 2.070 0.000
-2.377 0.000 8.583
Sm Si Rh Br
6 2 1 3
Direct
0.008 0.008 0.220
0.324 0.324 0.435
0.348 0.348 0.892
0.652 0.652 0.108
0.676 0.676 0.565
0.992 0.992 0.780
0.165 0.165 0.339
0.835 0.835 0.661
0.500 0.500 0.000
0.174 0.174 0.836
0.500 0.500 0.500
0.826 0.826 0.164
```

Values from the calculation:
raw formation energy = -1.028 eV per atom
total energy = -5.322 eV per atom
V = 335 Å³/cell
symmetry = No. 12

---

A geometry-optimized LiEr3In4 structure. Source: Alexandria, functional PBE.

Geometry as POSCAR:
```
LiEr3In4
1.0
3.471 0.000 0.000
0.000 3.471 0.000
0.000 0.000 16.067
Li Er In
1 3 4
Direct
0.000 0.000 0.000
0.000 0.000 0.232
0.000 0.000 0.500
0.000 0.000 0.768
0.500 0.500 0.098
0.500 0.500 0.365
0.500 0.500 0.635
0.500 0.500 0.902
```

Values from the calculation:
total energy = -3.733 eV per atom
energy relative to the elements = -0.4139 eV/atom
V = 194 Å³/cell
symmetry = No. 123

---

A geometry-optimized Na3Ho3GaO8 structure. Source: Alexandria, functional PBE.

Geometry as POSCAR:
```
Na3Ho3GaO8
1.0
3.343 1.930 5.522
-3.343 1.930 5.522
0.000 -3.860 5.522
Na Ho Ga O
3 3 1 8
Direct
0.000 0.500 0.500
0.500 0.000 0.500
0.500 0.500 0.000
0.000 0.000 0.500
0.000 0.500 0.000
0.500 0.000 0.000
0.500 0.500 0.500
0.237 0.237 0.237
0.260 0.718 0.718
0.282 0.282 0.740
0.282 0.740 0.282
0.718 0.260 0.718
0.718 0.718 0.260
0.740 0.282 0.282
0.763 0.763 0.763
```

Values from the calculation:
raw formation energy = -2.459 eV per atom
total energy = -6.485 eV per atom
V = 214 Å³/cell
symmetry = No. 166

---

A geometry-optimized Li2FeS structure. Source: Alexandria, functional PBE.

Geometry as POSCAR:
```
Li2FeS
1.0
-3.939 3.939 2.149
3.939 -3.939 2.149
3.939 3.939 -2.149
Li Fe S
4 2 2
Direct
0.022 0.125 0.397
0.375 0.978 0.103
0.728 0.625 0.603
0.875 0.272 0.897
0.250 0.750 0.500
0.500 0.500 0.000
0.000 0.000 0.000
0.750 0.250 0.500
```

Values from the calculation:
raw formation energy = -0.243 eV per atom
total energy = -4.347 eV per atom
V = 133 Å³/cell
symmetry = No. 122

---

A geometry-optimized KAsRu2 structure. Source: Alexandria, functional PBE.

Geometry as POSCAR:
```
KAsRu2
1.0
2.844 0.000 0.000
0.000 3.833 0.000
0.000 0.000 7.515
K As Ru
1 1 2
Direct
0.000 0.000 0.000
0.500 0.500 0.676
0.000 0.000 0.492
0.500 0.500 0.353
```

Values from the calculation:
total energy = -5.752 eV per atom
energy relative to the elements = 0.3231 eV/atom
V = 82 Å³/cell
symmetry = No. 25

---

A geometry-optimized Ce2HoTmS6 structure. Source: Alexandria, functional PBE.

Geometry as POSCAR:
```
Ce2HoTmS6
1.0
3.519 2.032 6.147
-3.519 2.032 6.147
0.000 -4.063 6.147
Ce Ho Tm S
2 1 1 6
Direct
0.000 0.000 0.000
0.499 0.499 0.499
0.294 0.294 0.294
0.794 0.794 0.794
0.081 0.418 0.675
0.174 0.915 0.584
0.418 0.675 0.081
0.584 0.174 0.915
0.675 0.081 0.418
0.915 0.584 0.174
```

Values from the calculation:
raw formation energy = -1.992 eV per atom
total energy = -6.560 eV per atom
V = 264 Å³/cell
symmetry = No. 146

---

A geometry-optimized Ac8Pd3AuI4 structure. Source: Alexandria, functional PBE.

Geometry as POSCAR:
```
Ac8Pd3AuI4
1.0
7.844 -4.527 0.000
7.844 4.527 0.000
-5.243 0.000 8.625
Ac Pd Au I
8 3 1 4
Direct
0.222 0.733 0.687
0.230 0.230 0.689
0.267 0.267 0.313
0.267 0.778 0.313
0.733 0.222 0.687
0.733 0.733 0.687
0.770 0.770 0.311
0.778 0.267 0.313
0.000 0.000 0.500
0.000 0.500 0.500
0.500 0.000 0.500
0.500 0.500 0.500
0.000 0.000 0.000
0.000 0.500 0.000
0.500 0.000 0.000
0.500 0.500 0.000
```

Values from the calculation:
raw formation energy = -0.955 eV per atom
total energy = -4.575 eV per atom
V = 613 Å³/cell
symmetry = No. 12

---

A geometry-optimized CaGdC structure. Source: Alexandria, functional PBE.

Geometry as POSCAR:
```
CaGdC
1.0
3.701 0.000 0.000
-1.851 3.205 0.000
0.000 0.000 6.535
Ca Gd C
1 1 1
Direct
0.000 0.000 0.000
0.333 0.667 0.596
0.667 0.333 0.768
```

Values from the calculation:
total energy = -8.475 eV per atom
energy relative to the elements = -0.0392 eV/atom
V = 78 Å³/cell
symmetry = No. 156

---

A geometry-optimized LaTaBrCl2 structure. Source: Alexandria, functional PBE.

Geometry as POSCAR:
```
LaTaBrCl2
1.0
4.756 0.000 0.000
0.000 4.756 0.000
0.000 0.000 6.116
La Ta Br Cl
1 1 1 2
Direct
0.000 0.000 0.000
0.000 0.000 0.500
0.500 0.500 0.000
0.000 0.500 0.500
0.500 0.000 0.500
```

Values from the calculation:
raw formation energy = -0.741 eV per atom
total energy = -5.171 eV per atom
V = 138 Å³/cell
symmetry = No. 123

---

A geometry-optimized ZrInI2N structure. Source: Alexandria, functional PBE.

Geometry as POSCAR:
```
ZrInI2N
1.0
6.065 0.000 0.000
0.000 6.065 0.000
0.000 0.000 3.876
Zr In I N
1 1 2 1
Direct
0.000 0.000 0.000
0.500 0.500 0.500
0.000 0.500 0.500
0.500 0.000 0.500
0.500 0.500 0.000
```

Values from the calculation:
energy above the lowest structure with this stoichiometry = 1123 meV per atom
raw formation energy = 0.769 eV per atom
total energy = -3.773 eV per atom
V = 143 Å³/cell
symmetry = No. 123

---

A geometry-optimized CuRuRh3 structure. Source: Alexandria, functional PBE.

Geometry as POSCAR:
```
CuRuRh3
1.0
1.348 -6.792 0.000
1.348 6.792 0.000
0.000 0.000 8.574
Cu Ru Rh
2 2 6
Direct
0.000 0.000 0.000
0.000 0.000 0.500
0.231 0.769 0.750
0.769 0.231 0.250
0.105 0.895 0.250
0.338 0.662 0.014
0.338 0.662 0.486
0.662 0.338 0.514
0.662 0.338 0.986
0.895 0.105 0.750
```

Values from the calculation:
energy above the lowest structure with this stoichiometry = 0 meV per atom
total energy = -6.747 eV per atom
energy relative to the elements = 0.3379 eV/atom
V = 157 Å³/cell
symmetry = No. 63

---

A geometry-optimized K3TeN2 structure. Source: Alexandria, functional PBE.

Geometry as POSCAR:
```
K3TeN2
1.0
4.563 -6.976 0.000
4.563 6.976 0.000
0.000 0.000 5.734
K Te N
6 2 4
Direct
0.177 0.823 0.750
0.203 0.379 0.750
0.379 0.203 0.250
0.621 0.797 0.750
0.797 0.621 0.250
0.823 0.177 0.250
0.331 0.669 0.250
0.669 0.331 0.750
0.065 0.065 0.000
0.065 0.065 0.500
0.935 0.935 0.000
0.935 0.935 0.500
```

Values from the calculation:
raw formation energy = -0.536 eV per atom
total energy = -4.384 eV per atom
V = 365 Å³/cell
symmetry = No. 63

---

A geometry-optimized ThU3Tl3Se8 structure. Source: Alexandria, functional PBE.

Geometry as POSCAR:
```
ThU3Tl3Se8
1.0
8.370 0.000 0.000
4.183 7.260 0.000
4.183 2.423 7.887
Th U Tl Se
1 3 3 8
Direct
0.000 0.000 0.000
0.000 0.500 0.000
0.500 0.000 0.000
0.500 0.500 0.000
0.000 0.000 0.500
0.000 0.500 0.500
0.500 0.000 0.500
0.237 0.238 0.793
0.237 0.732 0.793
0.265 0.265 0.205
0.269 0.762 0.207
0.731 0.238 0.793
0.735 0.735 0.795
0.763 0.268 0.207
0.763 0.762 0.207
```

Values from the calculation:
raw formation energy = -1.052 eV per atom
total energy = -6.136 eV per atom
V = 479 Å³/cell
symmetry = No. 2

---

A geometry-optimized Tm5Fe2I2 structure. Source: Alexandria, functional PBE.

Geometry as POSCAR:
```
Tm5Fe2I2
1.0
8.399 -3.742 0.000
8.399 3.742 0.000
0.000 0.000 7.485
Tm Fe I
10 4 4
Direct
0.000 0.000 0.000
0.059 0.732 0.663
0.232 0.559 0.163
0.268 0.941 0.663
0.441 0.768 0.163
0.500 0.500 0.500
0.559 0.232 0.837
0.732 0.059 0.337
0.768 0.441 0.837
0.941 0.268 0.337
0.122 0.878 0.379
0.378 0.622 0.879
0.622 0.378 0.121
0.878 0.122 0.621
0.218 0.218 0.000
0.282 0.282 0.500
0.718 0.718 0.500
0.782 0.782 0.000
```

Values from the calculation:
raw formation energy = -0.379 eV per atom
total energy = -5.089 eV per atom
V = 470 Å³/cell
symmetry = No. 64

---

A geometry-optimized BaInI2O structure. Source: Alexandria, functional PBE.

Geometry as POSCAR:
```
BaInI2O
1.0
6.355 0.000 0.000
0.000 6.355 0.000
0.000 0.000 4.155
Ba In I O
1 1 2 1
Direct
0.000 0.000 0.000
0.500 0.500 0.500
0.000 0.500 0.500
0.500 0.000 0.500
0.500 0.500 0.000
```

Values from the calculation:
energy above the lowest structure with this stoichiometry = 0 meV per atom
raw formation energy = -1.064 eV per atom
total energy = -3.608 eV per atom
V = 168 Å³/cell
symmetry = No. 123

---

A geometry-optimized CrRePb2 structure. Source: Alexandria, functional PBE.

Geometry as POSCAR:
```
CrRePb2
1.0
3.235 0.000 0.000
0.000 4.576 0.000
-0.418 0.000 5.653
Cr Re Pb
1 1 2
Direct
0.000 0.000 0.000
0.500 0.000 0.500
0.260 0.500 0.749
0.740 0.500 0.251
```

Values from the calculation:
energy above the lowest structure with this stoichiometry = 635 meV per atom
total energy = -6.328 eV per atom
energy relative to the elements = 1.0440 eV/atom
V = 84 Å³/cell
symmetry = No. 10

---

A geometry-optimized BaTa2Ir structure. Source: Alexandria, functional PBE.

Geometry as POSCAR:
```
BaTa2Ir
1.0
-2.634 2.634 8.841
2.634 -2.634 8.841
2.634 2.634 -8.841
Ba Ta Ir
2 4 2
Direct
0.375 0.625 0.750
0.625 0.375 0.250
0.000 0.000 0.000
0.000 0.000 0.500
0.000 0.500 0.000
0.500 0.000 0.500
0.125 0.875 0.250
0.875 0.125 0.750
```

Values from the calculation:
energy above the lowest structure with this stoichiometry = 646 meV per atom
total energy = -7.759 eV per atom
energy relative to the elements = 0.8635 eV/atom
V = 245 Å³/cell
symmetry = No. 141

---

A geometry-optimized Ac2Mg5Zn structure. Source: Alexandria, functional PBE.

Geometry as POSCAR:
```
Ac2Mg5Zn
1.0
2.544 -8.995 0.000
2.544 8.995 0.000
0.000 0.000 10.139
Ac Mg Zn
4 10 2
Direct
0.000 0.000 0.000
0.000 0.000 0.500
0.194 0.806 0.750
0.806 0.194 0.250
0.189 0.811 0.104
0.189 0.811 0.396
0.356 0.644 0.031
0.356 0.644 0.469
0.403 0.597 0.750
0.597 0.403 0.250
0.644 0.356 0.531
0.644 0.356 0.969
0.811 0.189 0.604
0.811 0.189 0.896
0.446 0.554 0.250
0.554 0.446 0.750
```

Values from the calculation:
total energy = -2.235 eV per atom
energy relative to the elements = -0.0519 eV/atom
V = 464 Å³/cell
symmetry = No. 63

---

A geometry-optimized Cd3PtPb structure. Source: Alexandria, functional PBE.

Geometry as POSCAR:
```
Cd3PtPb
1.0
5.204 0.000 0.000
0.000 5.204 0.000
0.000 0.000 5.204
Cd Pt Pb
3 1 1
Direct
0.000 0.000 0.500
0.000 0.500 0.000
0.500 0.000 0.000
0.000 0.000 0.000
0.500 0.500 0.500
```

Values from the calculation:
energy above the lowest structure with this stoichiometry = 0 meV per atom
total energy = -2.466 eV per atom
energy relative to the elements = 0.0325 eV/atom
V = 141 Å³/cell
symmetry = No. 221

---

A geometry-optimized Pr7BiAs5 structure. Source: Alexandria, functional PBE.

Geometry as POSCAR:
```
Pr7BiAs5
1.0
2.173 -7.107 0.000
2.173 7.107 0.000
0.000 0.000 25.513
Pr Bi As
14 2 10
Direct
0.033 0.967 0.750
0.136 0.864 0.035
0.136 0.864 0.465
0.324 0.676 0.673
0.324 0.676 0.827
0.409 0.591 0.104
0.409 0.591 0.396
0.591 0.409 0.604
0.591 0.409 0.896
0.676 0.324 0.173
0.676 0.324 0.327
0.864 0.136 0.535
0.864 0.136 0.965
0.967 0.033 0.250
0.298 0.702 0.250
0.702 0.298 0.750
0.044 0.956 0.143
0.044 0.956 0.357
0.228 0.772 0.573
0.228 0.772 0.927
0.500 0.500 0.000
0.500 0.500 0.500
0.772 0.228 0.073
0.772 0.228 0.427
0.956 0.044 0.643
0.956 0.044 0.857
```

Values from the calculation:
total energy = -5.988 eV per atom
energy relative to the elements = -1.3272 eV/atom
V = 788 Å³/cell
symmetry = No. 63

---

A geometry-optimized Ho2InSn3 structure. Source: Alexandria, functional PBE.

Geometry as POSCAR:
```
Ho2InSn3
1.0
6.631 -4.325 0.000
6.631 4.325 0.000
0.000 0.000 6.074
Ho In Sn
4 2 6
Direct
0.070 0.662 0.750
0.338 0.930 0.750
0.662 0.070 0.250
0.930 0.338 0.250
0.439 0.561 0.250
0.561 0.439 0.750
0.100 0.900 0.250
0.290 0.290 0.000
0.290 0.290 0.500
0.710 0.710 0.000
0.710 0.710 0.500
0.900 0.100 0.750
```

Values from the calculation:
energy above the lowest structure with this stoichiometry = 320 meV per atom
total energy = -4.207 eV per atom
energy relative to the elements = -0.2230 eV/atom
V = 348 Å³/cell
symmetry = No. 63

---

A geometry-optimized TcHg2Pt structure. Source: Alexandria, functional PBE.

Geometry as POSCAR:
```
TcHg2Pt
1.0
4.539 -1.427 0.000
4.539 1.427 0.000
-0.816 0.000 5.737
Tc Hg Pt
1 2 1
Direct
0.000 0.000 0.000
0.253 0.253 0.731
0.493 0.493 0.452
0.739 0.739 0.179
```

Values from the calculation:
energy above the lowest structure with this stoichiometry = 209 meV per atom
total energy = -3.840 eV per atom
energy relative to the elements = 0.4130 eV/atom
V = 74 Å³/cell
symmetry = No. 8